First-principles (SCAN) data for a crystal of Hf3HgTe relaxed with PBEsol, as listed in the Alexandria database.

- space group = Pm-3m (221)
- energy relative to the elements, uncorrected (eV per atom) = 0.954

Cell lengths 5.130, 5.130, 5.130 Å; angles 90.00, 90.00, 90.00 degrees
Fractional positions:
Te 0.000 0.000 0.000
Hf 0.000 0.500 0.000
Hf 0.000 0.000 0.500
Hf 0.500 0.000 0.000
Hg 0.500 0.500 0.500

First-principles (SCAN) data for a crystal of KSb2Br relaxed with PBEsol, as listed in the Alexandria database.

- space group = P4mm (99)
- energy relative to the elements, uncorrected (eV per atom) = -0.626
- offset from the most stable computed form (eV per formula unit) = 0.00

Cell lengths 3.832, 3.832, 8.359 Å; angles 90.00, 90.00, 90.00 degrees
Fractional positions:
Br 0.000 0.000 0.524
K 0.500 0.500 0.709
Sb 0.000 0.000 0.050
Sb 0.500 0.500 0.217

First-principles (SCAN) data for a crystal of SrMg3Cu relaxed with PBEsol, as listed in the Alexandria database.

- space group = Pm-3m (221)
- ΔE_f (eV/atom) = -0.05

Cell lengths 5.018, 5.018, 5.018 Å; angles 90.00, 90.00, 90.00 degrees
Fractional positions:
Sr 0.500 0.500 0.500
Mg 0.000 0.500 0.000
Mg 0.000 0.000 0.500
Mg 0.500 0.000 0.000
Cu 0.000 0.000 0.000

First-principles (SCAN) data for a crystal of Y2IrBr relaxed with PBEsol, as listed in the Alexandria database.

- space group = Immm (71)
- energy relative to the elements, uncorrected (eV per atom) = -0.812
- offset from the most stable computed form (eV per formula unit) = 1.98

Cell lengths 4.259, 5.113, 5.113 Å; angles 66.44, 65.39, 65.39 degrees
Fractional positions:
Y 0.260 0.740 0.740
Y 0.740 0.260 0.260
Ir 0.000 0.500 0.500
Br 0.500 0.000 0.000

First-principles (SCAN) data for a crystal of Na3CrTc relaxed with PBEsol, as listed in the Alexandria database.

- space group = Pm-3m (221)
- ΔE_f (eV/atom) = 1.52

Cell lengths 5.599, 5.599, 5.599 Å; angles 90.00, 90.00, 90.00 degrees
Site moments in Bohr magnetons follow the coordinates.
Fractional positions:
Cr 0.500 0.500 0.500  4.45
Tc 0.000 0.000 0.000  2.98
Na 0.000 0.500 0.000  -0.01
Na 0.000 0.000 0.500  -0.01
Na 0.500 0.000 0.000  -0.01

First-principles (SCAN) data for a crystal of ZnAgPt2 relaxed with PBEsol, as listed in the Alexandria database.

- space group = Immm (71)
- ΔE_f (eV/atom) = -0.24

Cell lengths 2.808, 4.657, 5.317 Å; angles 115.97, 105.31, 90.00 degrees
Fractional positions:
Zn 0.500 0.000 0.000
Ag 0.000 0.500 0.000
Pt 0.765 0.765 0.531
Pt 0.235 0.235 0.469

First-principles (SCAN) data for a crystal of MgScIn2 relaxed with PBEsol, as listed in the Alexandria database.

- space group = P4/mmm (123)
- ΔE_f (eV/atom) = -0.49

Cell lengths 4.299, 4.450, 4.450 Å; angles 90.00, 90.00, 90.00 degrees
Fractional positions:
Sc 0.500 0.000 0.000
Mg 0.500 0.500 0.500
In 0.000 0.000 0.500
In 0.000 0.500 0.000

First-principles (SCAN) data for a crystal of SrCo2Cu relaxed with PBEsol, as listed in the Alexandria database.

- space group = R3m (160)
- offset from the most stable computed form (eV per formula unit) = 0.00
- ΔE_f (eV/atom) = 0.16

Cell lengths 3.986, 3.986, 5.722 Å; angles 69.62, 69.62, 60.00 degrees
Site moments in Bohr magnetons follow the coordinates.
Fractional positions:
Sr 0.254 0.254 0.237  -0.10
Co 0.065 0.065 0.804  1.48
Co 0.741 0.741 0.778  1.54
Cu 0.446 0.446 0.662  0.02

First-principles (SCAN) data for a crystal of MnBeAu2 relaxed with PBEsol, as listed in the Alexandria database.

- space group = I-4m2 (119)
- ΔE_f (eV/atom) = -0.26

Cell lengths 3.797, 3.797, 4.780 Å; angles 113.40, 113.40, 90.00 degrees
Site moments in Bohr magnetons follow the coordinates.
Fractional positions:
Be 0.500 0.500 0.000  -0.02
Mn 0.250 0.750 0.500  4.09
Au 0.000 0.000 0.000  0.06
Au 0.750 0.250 0.500  0.08

First-principles (SCAN) data for a crystal of Y2RuRh2 relaxed with PBEsol, as listed in the Alexandria database.

- space group = I4/mmm (139)
- ΔE_f (eV/atom) = -0.15

Cell lengths 5.243, 5.243, 5.243 Å; angles 93.09, 118.24, 118.24 degrees
Fractional positions:
Rh 0.000 0.332 0.332
Rh 0.000 0.668 0.668
Ru 0.000 0.000 0.000
Y 0.500 0.750 0.250
Y 0.500 0.250 0.750

First-principles (SCAN) data for a crystal of ScZn2Fe relaxed with PBEsol, as listed in the Alexandria database.

- space group = I4/mmm (139)
- ΔE_f (eV/atom) = -0.17

Cell lengths 3.753, 3.748, 4.787 Å; angles 113.05, 113.08, 90.00 degrees
Site moments in Bohr magnetons follow the coordinates.
Fractional positions:
Fe 0.500 0.000 0.000  1.93
Sc 0.000 0.500 0.000  -0.32
Zn 0.750 0.750 0.500  -0.08
Zn 0.250 0.250 0.500  -0.08

First-principles (SCAN) data for a crystal of SrPb3Cl relaxed with PBEsol, as listed in the Alexandria database.

- space group = Pm-3m (221)
- energy relative to the elements, uncorrected (eV per atom) = 0.615

Cell lengths 6.104, 6.104, 6.104 Å; angles 90.00, 90.00, 90.00 degrees
Site moments in Bohr magnetons follow the coordinates.
Fractional positions:
Pb 0.000 0.500 0.000  0.14
Pb 0.000 0.000 0.500  0.14
Pb 0.500 0.000 0.000  0.14
Sr 0.000 0.000 0.000  0.15
Cl 0.500 0.500 0.500  0.10

First-principles (SCAN) data for a crystal of Na3LaAs2O8 relaxed with PBEsol, as listed in the Alexandria database.

- space group = P-3m1 (164)
- energy relative to the elements, uncorrected (eV per atom) = -2.077

Cell lengths 5.925, 5.925, 7.083 Å; angles 90.00, 90.00, 120.00 degrees
Fractional positions:
Na 0.667 0.333 0.334
Na 0.333 0.667 0.666
Na 0.000 0.000 0.000
La 0.000 0.000 0.500
As 0.667 0.333 0.799
As 0.333 0.667 0.201
O 0.667 0.333 0.033
O 0.333 0.667 0.967
O 0.820 0.641 0.700
O 0.180 0.359 0.300
O 0.820 0.180 0.700
O 0.180 0.820 0.300
O 0.359 0.180 0.700
O 0.641 0.820 0.300

First-principles (SCAN) data for a crystal of NiSbP4 relaxed with PBEsol, as listed in the Alexandria database.

- space group = F-43m (216)
- energy relative to the elements, uncorrected (eV per atom) = 0.944

Cell lengths 5.084, 5.084, 5.084 Å; angles 60.00, 60.00, 60.00 degrees
Fractional positions:
Ni 0.000 0.000 0.000
P 0.371 0.371 0.371
P 0.371 0.371 0.888
P 0.888 0.371 0.371
P 0.371 0.888 0.371
Sb 0.750 0.750 0.750

First-principles (SCAN) data for a crystal of NbCdO2 relaxed with PBEsol, as listed in the Alexandria database.

- space group = Fd-3m (227)
- energy relative to the elements, uncorrected (eV per atom) = -1.548
- offset from the most stable computed form (eV per formula unit) = 0.00

Cell lengths 6.242, 6.242, 6.242 Å; angles 60.00, 60.00, 60.00 degrees
Fractional positions:
Nb 0.250 0.250 0.250
Nb 0.000 0.000 0.000
O 0.125 0.125 0.625
O 0.125 0.125 0.125
O 0.625 0.125 0.125
O 0.125 0.625 0.125
Cd 0.750 0.750 0.750
Cd 0.500 0.500 0.500

First-principles (SCAN) data for a crystal of In2Ge2O7 relaxed with PBEsol, as listed in the Alexandria database.

- space group = C2/m (12)
- energy relative to the elements, uncorrected (eV per atom) = -1.803
- offset from the most stable computed form (eV per formula unit) = 0.10

Cell lengths 4.958, 5.548, 5.548 Å; angles 106.29, 97.27, 97.27 degrees
Fractional positions:
In 0.000 0.693 0.307
In 0.000 0.307 0.693
Ge 0.405 0.236 0.236
Ge 0.595 0.764 0.764
O 0.789 0.593 0.926
O 0.211 0.074 0.407
O 0.211 0.407 0.074
O 0.789 0.926 0.593
O 0.500 0.000 0.000
O 0.274 0.587 0.587
O 0.726 0.413 0.413

First-principles (SCAN) data for a crystal of Dy2Si4Mo3 relaxed with PBEsol, as listed in the Alexandria database.

- space group = P2_1/c (14)
- energy relative to the elements, uncorrected (eV per atom) = -0.664

Cell lengths 6.690, 6.791, 6.849 Å; angles 90.00, 90.00, 108.97 degrees
Fractional positions:
Dy 0.439 0.810 0.331
Dy 0.061 0.190 0.831
Dy 0.561 0.190 0.669
Dy 0.939 0.810 0.169
Si 0.132 0.910 0.545
Si 0.368 0.090 0.045
Si 0.868 0.090 0.455
Si 0.632 0.910 0.955
Si 0.129 0.496 0.132
Si 0.371 0.504 0.632
Si 0.871 0.504 0.868
Si 0.629 0.496 0.368
Mo 0.000 0.500 0.500
Mo 0.500 0.500 0.000
Mo 0.251 0.750 0.837
Mo 0.249 0.250 0.337
Mo 0.749 0.250 0.163
Mo 0.751 0.750 0.663

First-principles (SCAN) data for a crystal of CaLa2Ag2 relaxed with PBEsol, as listed in the Alexandria database.

- space group = P4/mbm (127)
- offset from the most stable computed form (eV per formula unit) = 0.00
- ΔE_f (eV/atom) = -0.27

Cell lengths 3.975, 8.477, 8.477 Å; angles 90.00, 90.00, 90.00 degrees
Fractional positions:
Ca 0.000 0.000 0.000
Ca 0.000 0.500 0.500
Ag 0.000 0.374 0.874
Ag 0.000 0.874 0.626
Ag 0.000 0.626 0.126
Ag 0.000 0.126 0.374
La 0.500 0.164 0.664
La 0.500 0.664 0.836
La 0.500 0.836 0.336
La 0.500 0.336 0.164

First-principles (SCAN) data for a crystal of Na2SiNiAu relaxed with PBEsol, as listed in the Alexandria database.

- space group = P4/mmm (123)
- energy relative to the elements, uncorrected (eV per atom) = 0.257

Cell lengths 4.272, 5.013, 5.013 Å; angles 90.00, 90.00, 90.00 degrees
Fractional positions:
Ni 0.000 0.000 0.000
Si 0.500 0.000 0.000
Au 0.500 0.500 0.500
Na 0.000 0.000 0.500
Na 0.000 0.500 0.000

First-principles (SCAN) data for a crystal of MnZn3Cr relaxed with PBEsol, as listed in the Alexandria database.

- space group = Pm-3m (221)
- ΔE_f (eV/atom) = 0.77

Cell lengths 4.523, 4.523, 4.523 Å; angles 90.00, 90.00, 90.00 degrees
Site moments in Bohr magnetons follow the coordinates.
Fractional positions:
Cr 0.500 0.500 0.500  4.09
Zn 0.000 0.500 0.000  -0.04
Zn 0.000 0.000 0.500  -0.04
Zn 0.500 0.000 0.000  -0.04
Mn 0.000 0.000 0.000  2.99

First-principles (SCAN) data for a crystal of La4YCu relaxed with PBEsol, as listed in the Alexandria database.

- space group = F-43m (216)
- ΔE_f (eV/atom) = 0.52

Cell lengths 6.387, 6.387, 6.387 Å; angles 60.00, 60.00, 60.00 degrees
Fractional positions:
Cu 0.000 0.000 0.000
La 0.374 0.374 0.374
La 0.374 0.374 0.878
La 0.878 0.374 0.374
La 0.374 0.878 0.374
Y 0.750 0.750 0.750

First-principles (SCAN) data for a crystal of GeP2IrO relaxed with PBEsol, as listed in the Alexandria database.

- space group = P4/mmm (123)
- energy relative to the elements, uncorrected (eV per atom) = 0.683

Cell lengths 3.393, 4.682, 4.682 Å; angles 90.00, 90.00, 90.00 degrees
Fractional positions:
P 0.000 0.000 0.500
P 0.000 0.500 0.000
Ge 0.000 0.000 0.000
Ir 0.500 0.500 0.500
O 0.500 0.000 0.000

First-principles (SCAN) data for a crystal of LiZn2As relaxed with PBEsol, as listed in the Alexandria database.

- space group = I4/mmm (139)
- ΔE_f (eV/atom) = -0.18

Cell lengths 3.850, 3.850, 4.896 Å; angles 113.15, 113.15, 90.00 degrees
Fractional positions:
As 0.500 0.500 0.000
Li 0.000 0.000 0.000
Zn 0.750 0.250 0.500
Zn 0.250 0.750 0.500

First-principles (SCAN) data for a crystal of BaLa3Ir relaxed with PBEsol, as listed in the Alexandria database.

- space group = P2_1/c (14)
- offset from the most stable computed form (eV per formula unit) = 0.00
- ΔE_f (eV/atom) = -0.40

Cell lengths 7.010, 10.114, 10.641 Å; angles 100.97, 90.00, 90.00 degrees
Fractional positions:
Ir 0.757 0.075 0.930
Ir 0.243 0.925 0.070
Ir 0.257 0.925 0.570
Ir 0.743 0.075 0.430
Ba 0.425 0.426 0.314
Ba 0.575 0.574 0.686
Ba 0.925 0.574 0.186
Ba 0.075 0.426 0.814
La 0.089 0.946 0.326
La 0.911 0.054 0.674
La 0.589 0.054 0.174
La 0.411 0.946 0.826
La 0.076 0.182 0.072
La 0.924 0.818 0.928
La 0.576 0.818 0.428
La 0.424 0.182 0.572
La 0.426 0.684 0.053
La 0.574 0.316 0.947
La 0.926 0.316 0.447
La 0.074 0.684 0.553

First-principles (SCAN) data for a crystal of MnAlFe relaxed with PBEsol, as listed in the Alexandria database.

- space group = I4mm (107)
- ΔE_f (eV/atom) = -0.13

Cell lengths 2.656, 2.656, 5.075 Å; angles 105.18, 105.18, 89.98 degrees
Site moments in Bohr magnetons follow the coordinates.
Fractional positions:
Mn 0.677 0.677 0.354  2.36
Fe 0.325 0.325 0.650  -0.96
Al 0.998 0.998 0.995  -0.02

First-principles (SCAN) data for a crystal of Tl4CdSi relaxed with PBEsol, as listed in the Alexandria database.

- space group = F-43m (216)
- energy relative to the elements, uncorrected (eV per atom) = 0.540

Cell lengths 6.182, 6.182, 6.182 Å; angles 60.00, 60.00, 60.00 degrees
Fractional positions:
Cd 0.750 0.750 0.750
Si 0.000 0.000 0.000
Tl 0.375 0.375 0.375
Tl 0.375 0.375 0.876
Tl 0.876 0.375 0.375
Tl 0.375 0.876 0.375

no.,M_tot (μB per cell)
1,0.0
2,0.0
3,0.0
4,0.1
5,8.6
6,0.0
7,0.0
8,2.5
9,4.3
10,0.0
11,1.3
12,1.5
13,0.1
14,0.0
15,0.0
16,0.0
17,0.0
18,0.2
19,0.0
20,7.2
21,0.0
22,0.0
23,0.0
24,0.0
25,1.4
26,0.0